{
  "formula": "VB2F8",
  "functional": "PBE+U",
  "state": "optimized geometry",
  "lattice": [[4.362, -3.703, 0.000], [4.362, 3.703, 0.000], [-0.701, 0.000, 4.753]],
  "species": ["V", "B", "B", "F", "F", "F", "F", "F", "F", "F", "F"],
  "fractional_positions": [[0.000, 0.000, 0.000], [0.222, 0.222, 0.647], [0.778, 0.778, 0.353], [0.008, 0.703, 0.242], [0.181, 0.181, 0.346], [0.297, 0.992, 0.758], [0.377, 0.377, 0.726], [0.623, 0.623, 0.274], [0.703, 0.008, 0.242], [0.819, 0.819, 0.654], [0.992, 0.297, 0.758]],
  "rho_g_cm3": 2.4,
  "relative_energy_kj_per_mol_fu": 0,
  "magmom_total_mub_per_fu": 3.0
}